Entry 1:
Below is an optimized crystal structure of SmPuGe2, with properties calculated at the GGA-PBE level.

Properties
V, Å³ per atom: 24.06
Energy above the lowest structure with this stoichiometry, meV/atom: 3.2
Formation enthalpy at 0 K, kcal/mol of atoms: -14.13

abc: 3.9776 5.8886 8.2187
angles: 90.00 90.00 90.00
Last column: nearest neighbours and their distance in Å.
Fractional positions:
Ge 0.0000 0.3885 0.0366  2 Ge 2.64
Ge 0.5000 0.1128 0.9639  2 Ge 2.64
Ge 0.0000 0.6115 0.5366  2 Ge 2.64
Ge 0.5000 0.8872 0.4639  2 Ge 2.64
Sm 0.5000 0.3639 0.3179  7 Ge 3.05-3.31
Sm 0.5000 0.6361 0.8179  7 Ge 3.05-3.31
Pu 0.0000 0.8652 0.1816  7 Ge 3.05-3.30
Pu 0.0000 0.1348 0.6816  7 Ge 3.05-3.30



Entry 2:
Below is an optimized crystal structure of Zr3Zn, with properties calculated at the GGA-PBE level.

Properties
V, Å³ per atom: 20.79
Formation enthalpy at 0 K, kcal/mol of atoms: -2.20

abc: 6.1678 6.1678 5.0494
angles: 90.00 90.00 120.00
Last column: nearest neighbours and their distance in Å.
Fractional positions:
Zr 0.6575 0.8287 0.7500  8 Zr 3.00-3.17, 4 Zn 3.06-3.08
Zr 0.3425 0.1713 0.2500  8 Zr 3.00-3.17, 4 Zn 3.06-3.08
Zr 0.1713 0.8287 0.7500  8 Zr 3.00-3.17, 4 Zn 3.06-3.08
Zr 0.8287 0.1713 0.2500  8 Zr 3.00-3.17, 4 Zn 3.06-3.08
Zr 0.8287 0.6575 0.2500  8 Zr 3.00-3.17, 4 Zn 3.06-3.08
Zr 0.1713 0.3425 0.7500  8 Zr 3.00-3.17, 4 Zn 3.06-3.08
Zn 0.6667 0.3333 0.7500  12 Zr 3.06-3.08
Zn 0.3333 0.6667 0.2500  12 Zr 3.06-3.08